# Dy5Y2ErSc

A relaxed Dy5Y2ErSc crystal (PBE, Alexandria via LeMat-Bulk).

a b c (Å): 5.530 10.293 10.352
angles (deg): 90.00 90.00 105.58
Fractional coordinates of all 18 atoms:
Dy  0.378  0.755  0.020
Dy  0.724  0.448  0.819
Dy  0.483  0.966  0.740
Dy  0.300  0.600  0.705
Dy  0.982  0.963  0.517
Dy  0.622  0.245  0.520
Dy  0.276  0.552  0.319
Dy  0.517  0.034  0.240
Dy  0.700  0.400  0.205
Dy  0.018  0.037  0.017
Y  0.889  0.778  0.812
Y  0.114  0.228  0.736
Y  0.111  0.222  0.312
Y  0.886  0.772  0.236
Er  0.591  0.183  0.959
Er  0.409  0.817  0.459
Sc  0.804  0.608  0.515
Sc  0.196  0.392  0.015

Values from the calculation:
Calculated formation energy: 142 kJ/mol of formula units
Symmetry: Cmc2_1, No. 36
Volume: 567.6 Å³/cell